*a*
DFT (PBE) results for a relaxed InBF2 crystal.

It has space group R-3m (No. 166, hexagonal axes), with a = 3.0521 Å, b = 3.0521 Å, c = 28.9182 Å, α = 90.00°, β = 90.00° and γ = 120.00°. The distinct sites, in fractional coordinates, are In at (0.0000, 0.0000, 0.0000), B at (0.0000, 0.0000, 0.5000) and F at (0.0000, 0.0000, 0.4538).

The value obtained for the total magnetization is 0.039 μB per atom.

*b*
DFT (PBE) results for a relaxed InBF2 crystal.

It has space group I4_1/amd (No. 141, origin choice 2), with a = 5.566 Å, b = 5.566 Å, c = 8.639 Å, α = 90.00°, β = 90.00° and γ = 90.00°. The distinct sites, in fractional coordinates, are In at (0.000, 0.250, 0.375), B at (0.000, 0.250, 0.875) and F at (0.000, 0.000, 0.000).

The value obtained for the total magnetization is 0.099 μB per atom.

*c*
DFT (PBE) results for a relaxed InBF2 crystal.

It has space group Fm-3m (No. 225), with a = 6.077 Å, b = 6.077 Å, c = 6.077 Å, α = 90.00°, β = 90.00° and γ = 90.00°. The distinct sites, in fractional coordinates, are In at (0.000, 0.000, 0.000), B at (0.000, 0.000, 0.500) and F at (0.250, 0.250, 0.250).

The value obtained for the total magnetization is 0.000 μB per atom.

Which of them is the least stable? Correct choice: *c*.

*a*
DFT (PBE) results for a relaxed In2B2F crystal.

It has space group I4/mmm (No. 139), with a = 2.849 Å, b = 2.849 Å, c = 17.618 Å, α = 90.00°, β = 90.00° and γ = 90.00°. The distinct sites, in fractional coordinates, are In at (0.000, 0.000, 0.112), B at (0.000, 0.500, 0.250) and F at (0.000, 0.000, 0.500).

The value obtained for the total magnetization is 0.000 μB per atom.

*b*
DFT (PBE) results for a relaxed In2B2F crystal.

It has space group P4/mbm (No. 127), with a = 6.694 Å, b = 6.694 Å, c = 3.366 Å, α = 90.00°, β = 90.00° and γ = 90.00°. The distinct sites, in fractional coordinates, are In at (0.220, 0.280, 0.000), B at (0.084, 0.584, 0.500) and F at (0.000, 0.000, 0.000).

The value obtained for the total magnetization is 0.000 μB per atom.

Which of them is the least stable? Correct choice: *a*.

*a*
DFT (PBE) results for a relaxed B2IrF crystal.

It has space group I-42d (No. 122), with a = 4.785 Å, b = 4.785 Å, c = 8.790 Å, α = 90.00°, β = 90.00° and γ = 90.00°. The distinct sites, in fractional coordinates, are B at (0.239, 0.250, 0.125), Ir at (0.000, 0.000, 0.000) and F at (0.000, 0.000, 0.500).

The value obtained for the total magnetization is 0.000 μB per atom.

*b*
DFT (PBE) results for a relaxed B2IrF crystal.

It has space group Fm-3m (No. 225), with a = 5.409 Å, b = 5.409 Å, c = 5.409 Å, α = 90.00°, β = 90.00° and γ = 90.00°. The distinct sites, in fractional coordinates, are B at (0.250, 0.250, 0.250), Ir at (0.000, 0.000, 0.000) and F at (0.000, 0.000, 0.500).

The value obtained for the total magnetization is 0.000 μB per atom.

Which of them is the least stable? Correct choice: *b*.

*a*
DFT (PBE) results for a relaxed BIrF3 crystal.

It has space group Pm-3m (No. 221), with a = 4.185 Å, b = 4.185 Å, c = 4.185 Å, α = 90.00°, β = 90.00° and γ = 90.00°. The distinct sites, in fractional coordinates, are B at (0.000, 0.000, 0.000), Ir at (0.500, 0.500, 0.500) and F at (0.000, 0.500, 0.500).

The value obtained for the total magnetization is 0.000 μB per atom.

*b*
DFT (PBE) results for a relaxed BIrF3 crystal.

It has space group Pm-3m (No. 221), with a = 3.825 Å, b = 3.825 Å, c = 3.825 Å, α = 90.00°, β = 90.00° and γ = 90.00°. The distinct sites, in fractional coordinates, are B at (0.000, 0.000, 0.000), Ir at (0.500, 0.500, 0.500) and F at (0.000, 0.000, 0.500).

The value obtained for the total magnetization is 0.411 μB per atom.

Which of them is the least stable? Correct choice: *b*.